No. 1
Sm3Ga4Au2: optimized geometry, PBE-GGA.

Unit cell a=3.993 b=8.114 c=8.114 alpha=57.03 beta=75.76 gamma=75.76
Element x y z (fractional)
Sm 0.370 0.130 0.130
Sm 0.500 0.500 0.500
Sm 0.630 0.870 0.870
Ga 0.818 0.865 0.500
Ga 0.182 0.500 0.135
Ga 0.182 0.135 0.500
Ga 0.818 0.500 0.865
Au 0.000 0.802 0.198
Au 0.000 0.198 0.802

Computed properties:
Distance to the lowest polymorph of the same formula, eV per atom: 0.184
ΔH_f (0 K), meV/atom: -567
Space-group type: Immm

No. 2
YIn2Pt2: optimized geometry, PBE-GGA.

Unit cell a=4.682 b=5.371 c=9.055 alpha=106.20 beta=90.00 gamma=90.00
Element x y z (fractional)
Y 0.250 0.821 0.232
Y 0.750 0.179 0.768
In 0.250 0.787 0.873
In 0.750 0.213 0.127
In 0.250 0.364 0.546
In 0.750 0.636 0.454
Pt 0.250 0.890 0.591
Pt 0.750 0.110 0.409
Pt 0.250 0.332 0.980
Pt 0.750 0.668 0.020

Computed properties:
ΔH_f (0 K), meV/atom: -773
Space-group type: P2_1/m

No. 3
NiSb2Pb: optimized geometry, PBE-GGA.

Unit cell a=5.471 b=5.471 c=5.471 alpha=129.06 beta=129.06 gamma=74.92
Element x y z (fractional)
Ni 0.250 0.750 0.500
Pb 0.750 0.250 0.500
Sb 0.000 0.000 0.000
Sb 0.500 0.500 0.000

Computed properties:
Formation energy (no corrections), meV/atom: 411
Space-group type: I4/mmm

| no. | total moment (μB per formula unit) |
| --- | --- |
| 1 | 0.000 |
| 2 | 0.000 |
| 3 | 0.000 |